The following is a SCAN calculation of MgPtW2 at its PBEsol-relaxed geometry, from Alexandria via LeMat-Bulk.

Cell lengths 3.2289, 3.2289, 6.1007 Å; angles 90.00, 90.00, 90.00 degrees
Sites, in units of the cell vectors:
1 W 0.0000 0.0000 0.0187
2 W 0.5000 0.5000 0.2304
3 Mg 0.0000 0.0000 0.5107
4 Pt 0.5000 0.5000 0.7403

## Properties
The calculated total energy is -53.65 eV per atom. The formation energy comes out at -11 meV/atom. Its space group is P4mm, No. 99.